*1*
The following is a DFT calculation (PBE with a Hubbard U) of a relaxed Co3IrO crystal.

```
Co3IrO
1.0
-1.015 -2.432 -3.857
2.273 -3.696 1.732
-3.953 -1.500 1.986
Ir O Co
1 1 3
Cartesian
0.000 0.000 0.000
-1.348 -3.814 -0.069
1.136 -1.848 0.866
-1.977 -0.750 0.993
-0.507 -1.216 -1.929
```

Computed properties:
Its space group is Pm-3m (221). For the density of states at the Fermi level, the calculation gives 1.23 states/eV per atom.



*2*
The following is a DFT calculation (PBE with a Hubbard U) of a relaxed Co3IrO crystal.

```
Co3IrO
1.0
-2.193 -0.274 -3.188
1.349 -3.584 -0.619
-2.902 -1.459 2.122
Ir Co O
1 3 1
Cartesian
-1.873 -2.658 -0.843
-1.451 -0.729 1.061
-1.097 -0.137 -1.594
0.674 -1.792 -0.310
0.000 0.000 0.000
```

Computed properties:
Its space group is Pm-3m (221). For the density of states at the Fermi level, the calculation gives 1.09 states/eV per atom.



Compare the structures above. Which one is the most stable? *2* is.